[1]
A plane-wave DFT calculation with PBE was carried out for a geometry-optimized ScGeN2 structure.

```
ScGeN2
1.0
-5.656 -2.076 -0.944
-5.152 -2.260 2.352
-5.988 0.654 0.951
N Ge Sc
2 1 1
Direct
0.103 0.103 0.103
0.897 0.897 0.897
0.000 0.000 0.000
0.500 0.500 0.500
```

Calculated values
Its formation energy without anion corrections is -10.44 kcal/mol of atoms.

[2]
A plane-wave DFT calculation with PBE was carried out for a geometry-optimized PrGa3CoPt structure.

```
PrGa3CoPt
1.0
-0.740 4.201 -4.147
-0.232 -5.261 -5.288
-5.312 2.267 3.244
Pr Co Ga Pt
2 2 6 2
Direct
0.750 0.253 0.505
0.250 0.747 0.495
0.750 0.978 0.956
0.250 0.022 0.044
0.000 0.241 0.000
0.500 0.241 0.000
0.500 0.759 0.000
0.750 0.776 0.553
0.000 0.759 0.000
0.250 0.224 0.447
0.750 0.559 0.117
0.250 0.441 0.883
```

Calculated values
The electronic total energy comes out at -4.9247 eV/atom.

[3]
A plane-wave DFT calculation with PBE was carried out for a geometry-optimized CaAsSe2 structure.

```
CaAsSe2
1.0
3.702 0.000 0.000
0.000 3.763 -0.011
0.000 0.030 7.150
As Se Ca
1 2 1
Direct
0.500 0.250 0.250
0.000 0.250 0.520
0.000 0.250 0.980
0.500 0.750 0.750
```

Calculated values
Its formation energy without anion corrections is -18.33 kcal/mol of atoms.

[4]
A plane-wave DFT calculation with PBE was carried out for a geometry-optimized ZrNb2Sb2 structure.

```
ZrNb2Sb2
1.0
7.805 0.000 0.000
0.000 7.805 0.000
0.000 0.000 3.448
Sb Nb Zr
4 4 2
Direct
0.652 0.152 0.000
0.152 0.348 0.000
0.848 0.652 0.000
0.348 0.848 0.000
0.641 0.859 0.500
0.859 0.359 0.500
0.359 0.141 0.500
0.141 0.641 0.500
0.500 0.500 0.000
0.000 0.000 0.000
```

Calculated values
Its formation energy without anion corrections is -4.83 kcal/mol of atoms.

[5]
A plane-wave DFT calculation with PBE was carried out for a geometry-optimized AgGeBi2O6 structure.

```
AgGeBi2O6
1.0
5.723 0.000 0.000
2.862 4.956 0.000
2.861 1.652 5.120
O Ag Bi Ge
6 1 2 1
Direct
0.682 0.159 0.762
0.397 0.682 0.762
0.222 0.998 0.212
0.998 0.568 0.212
0.568 0.222 0.212
0.159 0.397 0.762
0.768 0.768 0.696
0.530 0.530 0.409
0.013 0.013 0.960
0.324 0.324 0.027
```

Calculated values
Its formation energy without anion corrections is -24.35 kcal/mol of atoms.

[6]
A plane-wave DFT calculation with PBE was carried out for a geometry-optimized Ca2GaNi2Pt5 structure.

```
Ca2GaNi2Pt5
1.0
3.867 0.000 0.000
0.000 9.310 0.000
0.000 0.000 9.310
Ca Pt Ni Ga
4 10 4 2
Direct
0.000 0.824 0.676
0.000 0.176 0.324
0.000 0.324 0.824
0.000 0.676 0.176
0.500 0.064 0.795
0.500 0.000 0.500
0.500 0.795 0.936
0.500 0.295 0.564
0.500 0.500 0.000
0.500 0.436 0.295
0.500 0.564 0.705
0.500 0.205 0.064
0.500 0.705 0.436
0.500 0.936 0.205
0.000 0.623 0.877
0.000 0.123 0.623
0.000 0.377 0.123
0.000 0.877 0.377
0.000 0.000 0.000
0.000 0.500 0.500
```

Calculated values
The electronic total energy comes out at -5.4784 eV/atom.

[7]
A plane-wave DFT calculation with PBE was carried out for a geometry-optimized UFe2NiH8 structure.

```
UFe2NiH8
1.0
-2.760 -3.037 1.512
0.305 0.731 -4.301
4.205 -4.012 -0.383
H U Ni Fe
8 1 1 2
Direct
0.341 0.170 0.174
0.170 0.830 0.826
0.667 0.333 0.641
0.659 0.830 0.826
0.830 0.170 0.174
0.170 0.341 0.826
0.830 0.659 0.174
0.333 0.667 0.359
0.000 0.000 0.500
0.000 0.000 0.000
0.667 0.333 0.372
0.333 0.667 0.628
```

Calculated values
The electronic total energy comes out at -4.9989 eV/atom.

| no. | magnetization (μB per formula unit) |
| --- | --- |
| 1 | 0.0 |
| 2 | 0.0 |
| 3 | 0.0 |
| 4 | 0.0 |
| 5 | 0.6 |
| 6 | 0.0 |
| 7 | 0.2 |